1.
Mn4CdMo | PBE | optimized geometry

Space group   No. 216
Volume   13.12 A^3/atom

Cell lengths 4.8107, 4.8107, 4.8107 Å; angles 60.00, 60.00, 60.00 degrees
With the nearest neighbours (Å) after each atom.
Sites, in units of the cell vectors:
Mn 0.8776 0.3741 0.3741  6 Mn 2.39-2.42
Mn 0.3741 0.3741 0.8776  6 Mn 2.39-2.42
Mn 0.3741 0.8776 0.3741  6 Mn 2.39-2.42
Mn 0.3741 0.3741 0.3741  6 Mn 2.39-2.42
Cd 0.0000 0.0000 0.0000  12 Mn 2.82, 4 Mo 2.95
Mo 0.7500 0.7500 0.7500  12 Mn 2.82, 4 Cd 2.95

2.
MnCd3Mo | PBE | optimized geometry

Space group   No. 221
Volume   28.55 A^3/atom

Cell lengths 5.2260, 5.2260, 5.2260 Å; angles 90.00, 90.00, 90.00 degrees
With the nearest neighbours (Å) after each atom.
Sites, in units of the cell vectors:
Mo 0.0000 0.0000 0.0000  6 Cd 2.61
Mn 0.5000 0.5000 0.5000  12 Cd 3.70
Cd 0.0000 0.5000 0.0000  2 Mo 2.61
Cd 0.0000 0.0000 0.5000  2 Mo 2.61
Cd 0.5000 0.0000 0.0000  2 Mo 2.61

3.
MnCd2Mo | PBE | optimized geometry

Space group   No. 12
Volume   17.73 A^3/atom

Cell lengths 5.2668, 5.2668, 2.7972 Å; angles 89.84, 89.84, 113.93 degrees
With the nearest neighbours (Å) after each atom.
Sites, in units of the cell vectors:
Cd 0.0000 0.0000 0.0000  4 Cd 2.80-2.87, 4 Mn 2.98-2.99, 4 Mo 2.98-2.99
Cd 0.5000 0.5000 0.0000  4 Cd 2.80-2.87, 4 Mo 2.98-2.99, 4 Mn 2.98-2.99
Mn 0.5000 0.0000 0.5000  2 Mn 2.80, 2 Mo 2.87, 8 Cd 2.98-2.99
Mo 0.0000 0.5000 0.5000  2 Mo 2.80, 2 Mn 2.87, 8 Cd 2.98-2.99

4.
MnCd2Mo | PBE | optimized geometry

Space group   No. 123
Volume   17.62 A^3/atom

Cell lengths 4.0025, 4.0032, 4.3985 Å; angles 90.00, 90.00, 90.00 degrees
With the nearest neighbours (Å) after each atom.
Sites, in units of the cell vectors:
Cd 0.0000 0.0000 0.0000  4 Cd 2.83, 4 Mn 2.97, 4 Mo 2.97
Cd 0.5000 0.5000 0.0000  4 Cd 2.83, 4 Mo 2.97, 4 Mn 2.97
Mn 0.5000 0.0000 0.5000  4 Mo 2.83, 8 Cd 2.97
Mo 0.0000 0.5000 0.5000  4 Mn 2.83, 8 Cd 2.97

5.
MnCd2Mo | PBE | optimized geometry

Space group   No. 71
Volume   17.59 A^3/atom

Cell lengths 5.5949, 5.5949, 5.5949 Å; angles 147.34, 131.34, 59.85 degrees
With the nearest neighbours (Å) after each atom.
Sites, in units of the cell vectors:
Cd 0.9904 0.9904 0.0000  4 Cd 2.80, 2 Mn 2.81, 2 Mo 2.97
Cd 0.5096 0.5096 0.0000  4 Cd 2.80, 2 Mn 2.81, 2 Mo 2.97
Mn 0.7500 0.2500 0.5000  4 Mo 2.79, 4 Cd 2.81
Mo 0.2500 0.7500 0.5000  4 Mn 2.79, 4 Cd 2.97

6.
MnCdNiMo2 | PBE | optimized geometry

Space group   No. 123
Volume   20.85 A^3/atom

Cell lengths 4.8605, 4.4138, 4.8605 Å; angles 90.00, 90.00, 90.00 degrees
With the nearest neighbours (Å) after each atom.
Sites, in units of the cell vectors:
Ni 0.0000 0.5000 0.0000  2 Cd 2.21
Mo 0.0000 0.0000 0.5000  2 Cd 2.43
Mo 0.5000 0.0000 0.0000  2 Cd 2.43
Mn 0.5000 0.5000 0.5000  8 Mo 3.28, 4 Ni 3.44
Cd 0.0000 0.0000 0.0000  2 Ni 2.21, 4 Mo 2.43

| no. | uncorrected energy (eV per cell) |
| --- | --- |
| 1 | -47.308 |
| 2 | -13.349 |
| 3 | -20.117 |
| 4 | -20.039 |
| 5 | -19.872 |
| 6 | -24.141 |